Density functional theory data (GGA+U) for crystalline CsRe2MoO8 at its relaxed geometry.

Structure (POSCAR):
```
CsRe2MoO8
1.0
5.917 0.000 0.000
-2.958 5.124 0.000
0.000 0.000 8.306
Cs Re Mo O
1 2 1 8
direct
0.000 0.000 0.000 Cs
0.333 0.667 0.720 Re
0.667 0.333 0.280 Re
0.000 0.000 0.500 Mo
0.167 0.334 0.648 O
0.167 0.833 0.648 O
0.333 0.667 0.933 O
0.334 0.167 0.352 O
0.666 0.833 0.648 O
0.667 0.333 0.067 O
0.833 0.167 0.352 O
0.833 0.666 0.352 O
```

Properties
* magnetic moment: 0.0830 μB/atom
* total energy: -7.649 eV/atom